Record 1
Here is a geometry-optimized KBa3Tc2O8 structure from Alexandria. Energies are from GGA-PBE.

Lattice parameters (Å, degrees): 6.1195 6.1195 7.9730 90.00 90.00 120.00
Space group P-3m1 (No. 164)
Inequivalent atoms, fractional coordinates:
K (0.0000, 0.0000, 0.0000) x1
Ba (0.0000, 0.0000, 0.5000) x1
Ba (0.3333, 0.6667, 0.1391) x2
Tc (0.3333, 0.6667, 0.6794) x2
O (0.1773, 0.3546, 0.7914) x6
O (0.3333, 0.6667, 0.4496) x2

* raw total energy: -93.7 eV for the cell shown
* ΔE_f (raw): -1887 meV per atom
* V: 18.5 Å³ per atom

Record 2
Here is a geometry-optimized Mg2InSb structure from Alexandria. Energies are from GGA-PBE.

Lattice parameters (Å, degrees): 3.3192 3.3192 8.7686 90.00 90.00 90.00
Space group P4/mmm (No. 123)
Inequivalent atoms, fractional coordinates:
Mg (0.0000, 0.0000, 0.2470) x2
In (0.5000, 0.5000, 0.0000) x1
Sb (0.5000, 0.5000, 0.5000) x1

* ΔE to the lowest computed polymorph: 0.0402 eV/atom
* raw total energy: -10.5 eV for the cell shown
* ΔE_f (raw): -111 meV per atom
* V: 24.2 Å³ per atom

Record 3
Here is a geometry-optimized HPbW3 structure from Alexandria. Energies are from GGA-PBE.

Lattice parameters (Å, degrees): 4.1744 4.1744 4.1744 90.00 90.00 90.00
Space group Pm-3m (No. 221)
Inequivalent atoms, fractional coordinates:
H (0.0000, 0.0000, 0.0000) x1
Pb (0.5000, 0.5000, 0.5000) x1
W (0.0000, 0.0000, 0.5000) x3

* ΔE to the lowest computed polymorph: 0.0000 eV/atom
* raw total energy: -41.7 eV for the cell shown
* V: 14.5 Å³ per atom

Record 4
Here is a geometry-optimized RbCdS2O6 structure from Alexandria. Energies are from GGA-PBE.

Lattice parameters (Å, degrees): 5.4098 5.4098 20.9213 90.00 90.00 120.00
Space group R-3 (No. 148, hexagonal axes)
Inequivalent atoms, fractional coordinates:
Rb (0.0000, 0.0000, 0.0000) x3
Cd (0.0000, 0.0000, 0.5000) x3
S (0.0000, 0.0000, 0.2548) x6
O (0.0364, 0.2826, 0.2320) x18

* raw total energy: -158.4 eV for the cell shown
* ΔE_f (raw): -1292 meV per atom
* V: 17.7 Å³ per atom

Record 5
Here is a geometry-optimized BeCrTe2 structure from Alexandria. Energies are from GGA-PBE.

Lattice parameters (Å, degrees): 6.1058 6.1058 11.2345 90.00 90.00 90.00
Space group I-42d (No. 122)
Inequivalent atoms, fractional coordinates:
Be (0.0000, 0.0000, 0.0000) x4
Cr (0.0000, 0.0000, 0.5000) x4
Te (0.2146, 0.2500, 0.1250) x8

* raw total energy: -79.7 eV for the cell shown
* ΔE_f (raw): -74 meV per atom
* V: 26.2 Å³ per atom

Record 6
Here is a geometry-optimized Rb3PbI4 structure from Alexandria. Energies are from GGA-PBE.

Lattice parameters (Å, degrees): 14.5296 7.3475 7.3491 90.00 90.00 90.00
Space group Pmn2_1 (No. 31)
Inequivalent atoms, fractional coordinates:
Rb (0.0000, 0.2488, 0.0000) x2
Rb (0.2500, 0.2513, 0.4993) x4
Pb (0.0000, 0.7499, 0.4989) x2
I (0.0000, 0.2490, 0.4999) x2
I (0.0000, 0.7490, 0.9984) x2
I (0.2314, 0.7510, 0.4992) x4

* raw total energy: -43.3 eV for the cell shown
* ΔE_f (raw): -1107 meV per atom
* V: 49.0 Å³ per atom

Record 7
Here is a geometry-optimized K4Pa3PdS8 structure from Alexandria. Energies are from GGA-PBE.

Lattice parameters (Å, degrees): 13.9915 8.0339 8.7443 90.00 122.21 90.00
Space group C2/m (No. 12)
Inequivalent atoms, fractional coordinates:
K (0.0000, 0.0000, 0.0000) x2
K (0.0000, 0.5000, 0.0000) x2
K (0.2500, 0.2500, 0.0000) x4
Pa (0.0000, 0.0000, 0.5000) x2
Pa (0.2500, 0.2500, 0.5000) x4
Pd (0.0000, 0.5000, 0.5000) x2
S (0.0197, 0.2411, 0.2992) x8
S (0.2349, 0.0000, 0.7058) x4
S (0.2421, 0.5000, 0.7034) x4

* raw total energy: -185.1 eV for the cell shown
* ΔE_f (raw): -1342 meV per atom
* V: 26.0 Å³ per atom

Record 8
Here is a geometry-optimized NaMnRe2 structure from Alexandria. Energies are from GGA-PBE.

Lattice parameters (Å, degrees): 7.1997 7.1997 5.1251 90.00 90.00 90.00
Space group I-42d (No. 122)
Inequivalent atoms, fractional coordinates:
Na (0.0000, 0.0000, 0.0000) x4
Mn (0.0000, 0.0000, 0.5000) x4
Re (0.1827, 0.2500, 0.6250) x8

* formation enthalpy at 0 K: 26.37 kcal/mol of atoms
* ΔE to the lowest computed polymorph: 0.0835 eV/atom
* raw total energy: -123.2 eV for the cell shown
* V: 16.6 Å³ per atom

Record 9
Here is a geometry-optimized CeSmEr2 structure from Alexandria. Energies are from GGA-PBE.

Lattice parameters (Å, degrees): 7.9884 7.9884 7.9884 90.00 90.00 90.00
Space group Fm-3m (No. 225)
Inequivalent atoms, fractional coordinates:
Ce (0.0000, 0.0000, 0.0000) x4
Sm (0.0000, 0.0000, 0.5000) x4
Er (0.2500, 0.2500, 0.2500) x8

* formation enthalpy at 0 K: 3.57 kcal/mol of atoms
* ΔE to the lowest computed polymorph: 0.1066 eV/atom
* raw total energy: -76.6 eV for the cell shown
* V: 31.9 Å³ per atom

Record 10
Here is a geometry-optimized Ca2YSb2 structure from Alexandria. Energies are from GGA-PBE.

Lattice parameters (Å, degrees): 8.8819 8.8819 3.7128 90.00 90.00 90.00
Space group P4/mbm (No. 127)
Inequivalent atoms, fractional coordinates:
Ca (0.1248, 0.3752, 0.0000) x4
Y (0.0000, 0.0000, 0.0000) x2
Sb (0.1764, 0.6764, 0.5000) x4

* ΔE to the lowest computed polymorph: 0.3302 eV/atom
* raw total energy: -43.0 eV for the cell shown
* ΔE_f (raw): -562 meV per atom
* V: 29.3 Å³ per atom

Record 11
Here is a geometry-optimized Cs3SiTe3 structure from Alexandria. Energies are from GGA-PBE.

Lattice parameters (Å, degrees): 11.1613 7.6424 11.1623 90.00 119.73 90.00
Space group P2_1/m (No. 11)
Inequivalent atoms, fractional coordinates:
Cs (0.1107, 0.2500, 0.3062) x2
Cs (0.3048, 0.7500, 0.1106) x2
Cs (0.3071, 0.7500, 0.6942) x2
Si (0.1671, 0.2500, 0.8329) x2
Te (0.0912, 0.7500, 0.2964) x2
Te (0.2951, 0.2500, 0.0912) x2
Te (0.2974, 0.2500, 0.7039) x2

* ΔE to the lowest computed polymorph: 0.1458 eV/atom
* raw total energy: -43.1 eV for the cell shown
* ΔE_f (raw): -594 meV per atom
* V: 59.1 Å³ per atom

Record 12
Here is a geometry-optimized MgTa2Ag structure from Alexandria. Energies are from GGA-PBE.

Lattice parameters (Å, degrees): 3.2111 4.4733 10.1693 90.00 90.00 90.00
Space group Immm (No. 71)
Inequivalent atoms, fractional coordinates:
Mg (0.0000, 0.0000, 0.0000) x2
Ta (0.0000, 0.5000, 0.2432) x4
Ag (0.0000, 0.0000, 0.5000) x2

* formation enthalpy at 0 K: 5.45 kcal/mol of atoms
* raw total energy: -54.4 eV for the cell shown
* V: 18.3 Å³ per atom

Record 13
Here is a geometry-optimized LaNdSn6 structure from Alexandria. Energies are from GGA-PBE.

Lattice parameters (Å, degrees): 4.8014 4.8014 9.5452 90.00 90.00 90.00
Space group P4/mmm (No. 123)
Inequivalent atoms, fractional coordinates:
La (0.0000, 0.0000, 0.0000) x1
Nd (0.0000, 0.0000, 0.5000) x1
Sn (0.0000, 0.5000, 0.2519) x4
Sn (0.5000, 0.5000, 0.0000) x1
Sn (0.5000, 0.5000, 0.5000) x1

* formation enthalpy at 0 K: -12.40 kcal/mol of atoms
* raw total energy: -38.0 eV for the cell shown
* V: 27.5 Å³ per atom

Record 14
Here is a geometry-optimized HfTc3Os structure from Alexandria. Energies are from GGA-PBE.

Lattice parameters (Å, degrees): 4.6578 4.6578 4.6578 90.00 90.00 90.00
Space group Pm-3m (No. 221)
Inequivalent atoms, fractional coordinates:
Hf (0.0000, 0.0000, 0.0000) x1
Tc (0.0000, 0.5000, 0.5000) x3
Os (0.5000, 0.5000, 0.5000) x1

* formation enthalpy at 0 K: 29.29 kcal/mol of atoms
* ΔE to the lowest computed polymorph: 0.0000 eV/atom
* raw total energy: -45.9 eV for the cell shown
* V: 20.2 Å³ per atom